1.
A relaxed structure of AsPbSeBr2. Source: Alexandria via LeMat-Bulk, functional PBE.

Cell: 5.2947 5.2947 5.5567 Å, 90.00 90.00 90.00°
With the nearest neighbours (Å) after each atom.
Atoms (fractional coordinates):
As: 0.0000 0.0000 0.0000  4 Br 2.65, 2 Se 2.78
Pb: 0.5000 0.5000 0.5000  4 Se 3.74, 8 Br 3.84
Se: 0.0000 0.0000 0.5000  2 As 2.78
Br: 0.0000 0.5000 0.0000  2 As 2.65
Br: 0.5000 0.0000 0.0000  2 As 2.65

Properties
distance to the lowest polymorph of the same formula = 0 meV per atom
space group = P4/mmm (123)
formation energy without anion corrections = -8.1 kJ per mole of atoms
total energy = -3.122 eV/atom
calculated density = 5.55 g cm⁻³


2.
A relaxed structure of Fe2PbBr. Source: Alexandria via LeMat-Bulk, functional PBE.

Cell: 4.7112 4.7112 4.7112 Å, 60.00 60.00 60.00°
With the nearest neighbours (Å) after each atom.
Atoms (fractional coordinates):
Fe: 0.2500 0.2500 0.2500  4 Pb 2.88, 4 Br 2.88
Fe: 0.7500 0.7500 0.7500  4 Br 2.88, 4 Pb 2.88
Pb: 0.0000 0.0000 0.0000  8 Fe 2.88
Br: 0.5000 0.5000 0.5000  8 Fe 2.88

Properties
distance to the lowest polymorph of the same formula = 618 meV per atom
space group = Fm-3m (225)
formation energy without anion corrections = 78.5 kJ per mole of atoms
total energy = -4.763 eV/atom
calculated density = 8.96 g cm⁻³


3.
A relaxed structure of K4La3AlSe8. Source: Alexandria via LeMat-Bulk, functional PBE.

Cell: 9.1677 9.1677 9.1677 Å, 56.15 56.15 56.15°
With the nearest neighbours (Å) after each atom.
Atoms (fractional coordinates):
K: 0.0000 0.0000 0.0000  6 Se 3.57
K: 0.0000 0.5000 0.5000  6 Se 3.31-3.32
K: 0.5000 0.0000 0.5000  6 Se 3.31-3.32
K: 0.5000 0.5000 0.0000  6 Se 3.31-3.32
La: 0.0000 0.0000 0.5000  6 Se 2.99-3.03
La: 0.0000 0.5000 0.0000  6 Se 2.99-3.03
La: 0.5000 0.0000 0.0000  6 Se 2.99-3.03
Al: 0.5000 0.5000 0.5000  6 Se 2.73
Se: 0.2386 0.2386 0.2386  3 La 2.99, 3 K 3.31
Se: 0.2642 0.7179 0.7179  1 Al 2.73, 2 La 3.03
Se: 0.2821 0.2821 0.7358  1 Al 2.73, 2 La 3.03
Se: 0.2821 0.7358 0.2821  1 Al 2.73, 2 La 3.03
Se: 0.7179 0.2642 0.7179  1 Al 2.73, 2 La 3.03
Se: 0.7179 0.7179 0.2642  1 Al 2.73, 2 La 3.03
Se: 0.7358 0.2821 0.2821  1 Al 2.73, 2 La 3.03
Se: 0.7614 0.7614 0.7614  3 La 2.99, 3 K 3.31

Properties
space group = R-3m (166)
formation energy without anion corrections = -150.6 kJ per mole of atoms
total energy = -4.735 eV/atom
calculated density = 4.12 g cm⁻³


4.
A relaxed structure of KNdB12. Source: Alexandria via LeMat-Bulk, functional PBE.

Cell: 5.9092 5.9092 5.9092 Å, 60.00 60.00 60.00°
With the nearest neighbours (Å) after each atom.
Atoms (fractional coordinates):
K: 0.0000 0.0000 0.0000  24 B 3.07
Nd: 0.5000 0.5000 0.5000  24 B 3.07
B: 0.1011 0.1011 0.3989  5 B 1.69-1.76
B: 0.1011 0.3989 0.1011  5 B 1.69-1.76
B: 0.1011 0.3989 0.3989  5 B 1.69-1.76
B: 0.3989 0.1011 0.1011  5 B 1.69-1.76
B: 0.3989 0.1011 0.3989  5 B 1.69-1.76
B: 0.3989 0.3989 0.1011  5 B 1.69-1.76
B: 0.6011 0.6011 0.8989  5 B 1.69-1.76
B: 0.6011 0.8989 0.6011  5 B 1.69-1.76
B: 0.6011 0.8989 0.8989  5 B 1.69-1.76
B: 0.8989 0.6011 0.6011  5 B 1.69-1.76
B: 0.8989 0.6011 0.8989  5 B 1.69-1.76
B: 0.8989 0.8989 0.6011  5 B 1.69-1.76

Properties
space group = Fm-3m (225)
formation energy = -31 kJ/mol of atoms
total energy = -6.468 eV/atom
calculated density = 3.56 g cm⁻³


5.
A relaxed structure of Tb4GaTe2Br. Source: Alexandria via LeMat-Bulk, functional PBE.

Cell: 7.4042 4.2732 7.5044 Å, 90.00 109.10 90.00°
With the nearest neighbours (Å) after each atom.
Atoms (fractional coordinates):
Tb: 0.2259 0.0000 0.2248  2 Ga 2.89, 1 Br 3.03, 3 Te 3.05-3.19
Tb: 0.2335 0.5000 0.7661  1 Ga 2.84, 2 Br 3.05, 2 Te 3.05
Tb: 0.7665 0.5000 0.2339  1 Ga 2.84, 2 Br 3.05, 2 Te 3.05
Tb: 0.7741 0.0000 0.7752  2 Ga 2.89, 1 Br 3.03, 3 Te 3.05-3.19
Ga: 0.0000 0.5000 0.0000  6 Tb 2.84-2.89
Te: 0.0000 0.0000 0.5000  6 Tb 3.05
Te: 0.5000 0.5000 0.5000  6 Tb 3.19-3.23
Br: 0.5000 0.0000 0.0000  6 Tb 3.03-3.05

Properties
space group = P2/m (10)
formation energy without anion corrections = -106.3 kJ per mole of atoms
total energy = -4.790 eV/atom
calculated density = 7.70 g cm⁻³


6.
A relaxed structure of Ba2GeO2F4. Source: Alexandria via LeMat-Bulk, functional PBE.

Cell: 5.7498 5.7498 4.6771 Å, 92.97 92.97 60.96°
With the nearest neighbours (Å) after each atom.
Atoms (fractional coordinates):
Ba: 0.1766 0.1766 0.2735  4 O 2.84-2.94, 8 F 2.86-2.94
Ba: 0.8234 0.8234 0.7265  4 O 2.84-2.94, 8 F 2.86-2.94
Ge: 0.5000 0.5000 0.0000  2 O 1.76
O: 0.3440 0.3440 0.8004  1 Ge 1.76
O: 0.6560 0.6560 0.1996  1 Ge 1.76
F: 0.1678 0.6834 0.2328  1 Ge 2.02
F: 0.3166 0.8322 0.7672  1 Ge 2.02
F: 0.6834 0.1678 0.2328  1 Ge 2.02
F: 0.8322 0.3166 0.7672  1 Ge 2.02

Properties
space group = C2/m (12)
formation energy without anion corrections = -282.8 kJ per mole of atoms
total energy = -5.805 eV/atom
calculated density = 5.60 g cm⁻³


7.
A relaxed structure of TlSb2Mo. Source: Alexandria via LeMat-Bulk, functional PBE.

Cell: 7.0367 7.0367 7.0367 Å, 153.38 139.24 49.35°
With the nearest neighbours (Å) after each atom.
Atoms (fractional coordinates):
Tl: 0.0000 0.0000 0.0000  4 Mo 2.94, 2 Tl 3.24
Sb: 0.3226 0.8226 0.5000  2 Mo 2.79
Sb: 0.6774 0.1774 0.5000  2 Mo 2.79
Mo: 0.5000 0.5000 0.0000  4 Sb 2.79, 4 Tl 2.94

Properties
distance to the lowest polymorph of the same formula = 271 meV per atom
space group = Immm (71)
formation energy without anion corrections = 34.2 kJ per mole of atoms
total energy = -5.006 eV/atom
calculated density = 8.89 g cm⁻³


8.
A relaxed structure of LiCd2In3. Source: Alexandria via LeMat-Bulk, functional PBE.

Cell: 8.4946 3.4998 9.8079 Å, 90.00 101.97 90.00°
With the nearest neighbours (Å) after each atom.
Atoms (fractional coordinates):
Li: 0.1881 0.2500 0.2096  5 Cd 2.87-3.02, 4 In 2.90-2.97
Li: 0.8119 0.7500 0.7904  5 Cd 2.87-3.02, 4 In 2.90-2.97
Cd: 0.0960 0.2500 0.9112  3 Li 2.87-3.02, 3 In 3.02-3.15, 2 Cd 3.15
Cd: 0.4177 0.7500 0.3861  2 Li 2.91, 2 Cd 2.95, 2 In 3.07-3.08
Cd: 0.5823 0.2500 0.6139  2 Li 2.91, 2 Cd 2.95, 2 In 3.07-3.08
Cd: 0.9040 0.7500 0.0888  3 Li 2.87-3.02, 3 In 3.02-3.15, 2 Cd 3.15
In: 0.0586 0.7500 0.3953  2 Li 2.90, 2 In 3.02, 2 Cd 3.02-3.07
In: 0.2994 0.7500 0.7107  5 Cd 3.27-3.53, 8 In 3.34-3.54
In: 0.3859 0.7500 0.0671  2 Li 2.97, 3 Cd 3.08-3.15, 2 In 3.10
In: 0.6141 0.2500 0.9329  2 Li 2.97, 3 Cd 3.08-3.15, 2 In 3.10
In: 0.7006 0.2500 0.2893  5 Cd 3.27-3.53, 8 In 3.34-3.54
In: 0.9414 0.2500 0.6047  2 Li 2.90, 2 In 3.02, 2 Cd 3.02-3.07

Properties
distance to the lowest polymorph of the same formula = 22 meV per atom
space group = P2_1/m (11)
formation energy = -6 kJ/mol of atoms
total energy = -2.053 eV/atom
calculated density = 6.71 g cm⁻³


9.
A relaxed structure of Ac2NdSnN4. Source: Alexandria via LeMat-Bulk, functional PBE.

Cell: 6.4683 6.4683 13.0411 Å, 90.00 90.00 145.71°
With the nearest neighbours (Å) after each atom.
Atoms (fractional coordinates):
Ac: 0.1297 0.8703 0.5413  4 N 2.55-2.84
Ac: 0.1297 0.8703 0.9587  4 N 2.55-2.84
Ac: 0.8703 0.1297 0.0413  4 N 2.55-2.84
Ac: 0.8703 0.1297 0.4587  4 N 2.55-2.84
Nd: 0.3897 0.6103 0.7500  6 N 2.79-2.88
Nd: 0.6103 0.3897 0.2500  6 N 2.79-2.88
Sn: 0.3421 0.6579 0.2500  4 N 2.13-2.23
Sn: 0.6579 0.3421 0.7500  4 N 2.13-2.23
N: 0.0645 0.9355 0.7500  2 Sn 2.23
N: 0.2206 0.7794 0.1346  1 Sn 2.13
N: 0.2206 0.7794 0.3654  1 Sn 2.13
N: 0.5000 0.5000 0.0000  4 Ac 2.55
N: 0.5000 0.5000 0.5000  4 Ac 2.55
N: 0.7794 0.2206 0.6346  1 Sn 2.13
N: 0.7794 0.2206 0.8654  1 Sn 2.13
N: 0.9355 0.0645 0.2500  2 Sn 2.23

Properties
space group = Cmcm (63)
formation energy without anion corrections = -59.5 kJ per mole of atoms
total energy = -6.903 eV/atom
calculated density = 8.35 g cm⁻³


10.
A relaxed structure of Cd7Hg4Pb3. Source: Alexandria via LeMat-Bulk, functional PBE.

Cell: 10.1444 10.1444 11.2535 Å, 112.36 112.36 20.11°
With the nearest neighbours (Å) after each atom.
Atoms (fractional coordinates):
Cd: 0.0000 0.0000 0.0000  2 Hg 3.11, 4 Pb 3.23
Cd: 0.1929 0.1929 0.3888  3 Hg 3.00-3.23, 4 Cd 3.13-3.19
Cd: 0.2856 0.2856 0.1231  3 Hg 2.94-3.02, 2 Cd 3.13, 2 Pb 3.27
Cd: 0.4469 0.4469 0.7051  3 Hg 3.07-3.18, 2 Cd 3.13, 3 Pb 3.24-3.39
Cd: 0.5531 0.5531 0.2949  3 Hg 3.07-3.18, 2 Cd 3.13, 3 Pb 3.24-3.39
Cd: 0.7144 0.7144 0.8769  3 Hg 2.94-3.02, 2 Cd 3.13, 2 Pb 3.27
Cd: 0.8071 0.8071 0.6112  3 Hg 3.00-3.23, 4 Cd 3.13-3.19
Hg: 0.0828 0.0828 0.8158  5 Cd 3.02-3.11, 1 Pb 3.29
Hg: 0.3466 0.3466 0.4068  5 Cd 2.94-3.23
Hg: 0.6534 0.6534 0.5932  5 Cd 2.94-3.23
Hg: 0.9172 0.9172 0.1842  5 Cd 3.02-3.11, 1 Pb 3.29
Pb: 0.0000 0.0000 0.5000  6 Hg 3.29-3.34, 4 Cd 3.39, 2 Pb 3.54
Pb: 0.3540 0.3540 0.8857  8 Cd 3.23-3.44, 2 Pb 3.54, 2 Hg 3.57
Pb: 0.6460 0.6460 0.1143  8 Cd 3.23-3.44, 2 Pb 3.54, 2 Hg 3.57

Properties
space group = C2/m (12)
formation energy = 4 kJ/mol of atoms
total energy = -1.293 eV/atom
calculated density = 9.99 g cm⁻³


11.
A relaxed structure of Tm2LuZn. Source: Alexandria via LeMat-Bulk, functional PBE.

Cell: 5.1208 5.1208 3.9242 Å, 90.00 90.00 90.00°
With the nearest neighbours (Å) after each atom.
Atoms (fractional coordinates):
Tm: 0.0000 0.5000 0.0000  4 Zn 3.23, 4 Lu 3.23
Tm: 0.5000 0.0000 0.0000  4 Zn 3.23, 4 Lu 3.23
Lu: 0.0000 0.0000 0.5000  8 Tm 3.23
Zn: 0.5000 0.5000 0.5000  8 Tm 3.23

Properties
distance to the lowest polymorph of the same formula = 157 meV per atom
space group = P4/mmm (123)
formation energy = 0 kJ/mol of atoms
total energy = -3.687 eV/atom
calculated density = 9.33 g cm⁻³


12.
A relaxed structure of Ag2GeI4. Source: Alexandria via LeMat-Bulk, functional PBE.

Cell: 8.0092 8.0092 8.0092 Å, 131.44 131.44 71.12°
With the nearest neighbours (Å) after each atom.
Atoms (fractional coordinates):
Ag: 0.2500 0.7500 0.5000  4 I 2.87
Ag: 0.7500 0.2500 0.5000  4 I 2.87
Ge: 0.0000 0.0000 0.0000  4 I 2.92
I: 0.1406 0.6153 0.0000  2 Ag 2.87, 1 Ge 2.92
I: 0.3847 0.3847 0.5253  2 Ag 2.87, 1 Ge 2.92
I: 0.6153 0.1406 0.0000  2 Ag 2.87, 1 Ge 2.92
I: 0.8594 0.8594 0.4747  2 Ag 2.87, 1 Ge 2.92

Properties
distance to the lowest polymorph of the same formula = 17 meV per atom
space group = I-42m (121)
formation energy without anion corrections = -21.9 kJ per mole of atoms
total energy = -2.587 eV/atom
calculated density = 4.68 g cm⁻³